Entry 1:
Density functional theory data (PBE-GGA) for CoMo2Au after structural relaxation.

Lattice parameters (Å, degrees): 4.402 4.402 4.402 60.00 60.00 60.00
Positions (direct):
Co (0.750, 0.750, 0.750)
Au (0.500, 0.500, 0.500)
Mo (0.000, 0.000, 0.000)
Mo (0.250, 0.250, 0.250)

The calculation puts the energy at -7.619 eV/atom. Its energy above the most stable polymorph in this dataset is 239 meV/atom. As for the symmetry: No. 216. The theoretical density is 12.33 g/cm3. The formation energy from the elements comes out at 0.3919 eV per atom.

=====

Entry 2:
Density functional theory data (PBE-GGA) for SrMgIr2 after structural relaxation.

Lattice parameters (Å, degrees): 2.944 4.050 6.613 90.00 90.00 90.00
Positions (direct):
Ir (0.000, 0.000, 0.443)
Sr (0.500, 0.500, 0.750)
Mg (0.500, 0.500, 0.250)
Ir (0.000, 0.000, 0.057)

The calculation puts the energy at -5.220 eV/atom. As for the symmetry: No. 47. The theoretical density is 10.45 g/cm3. The formation energy from the elements comes out at 0.0297 eV per atom.

=====

Entry 3:
Density functional theory data (PBE-GGA) for Sm2TeC after structural relaxation.

Lattice parameters (Å, degrees): 3.913 3.913 7.618 75.12 75.12 60.00
Positions (direct):
Sm (0.270, 0.270, 0.190)
Te (0.500, 0.500, 0.501)
C (0.667, 0.667, 0.998)
Sm (0.063, 0.063, 0.812)

The calculation puts the energy at -6.214 eV/atom. As for the symmetry: No. 160. The theoretical density is 7.58 g/cm3. The formation energy without anion corrections comes out at -0.76 eV/atom.

=====

Entry 4:
Density functional theory data (PBE-GGA) for ScCrIn2 after structural relaxation.

Lattice parameters (Å, degrees): 4.865 4.865 4.865 60.00 60.00 60.00
Positions (direct):
In (0.750, 0.750, 0.750)
Cr (0.500, 0.500, 0.500)
Sc (0.000, 0.000, 0.000)
In (0.250, 0.250, 0.250)

The calculation puts the energy at -5.390 eV/atom. Its energy above the most stable polymorph in this dataset is 16 meV/atom. As for the symmetry: No. 225. The theoretical density is 6.66 g/cm3. The formation energy from the elements comes out at -0.0318 eV per atom.

=====

Please write out number 1 again, unchanged.
Density functional theory data (PBE-GGA) for CoMo2Au after structural relaxation.

Lattice parameters (Å, degrees): 4.402 4.402 4.402 60.00 60.00 60.00
Positions (direct):
Co (0.750, 0.750, 0.750)
Au (0.500, 0.500, 0.500)
Mo (0.000, 0.000, 0.000)
Mo (0.250, 0.250, 0.250)

The calculation puts the energy at -7.619 eV/atom. Its energy above the most stable polymorph in this dataset is 239 meV/atom. As for the symmetry: No. 216. The theoretical density is 12.33 g/cm3. The formation energy from the elements comes out at 0.3919 eV per atom.

=====

Q: Which formula does entry 3 have?
A: Sm2TeC